Below is a PBEsol-optimized structure of MnCo2Re, with properties calculated at the SCAN level.

Geometry as extended XYZ:
```
4
Lattice="2.787 0.000 0.000 0.000 2.787 0.000 0.000 0.000 6.026" Properties=species:S:1:pos:R:3 pbc="T T T"
Mn 0.000 0.000 0.000
Co 0.000 0.000 3.253
Co 1.394 1.394 4.685
Re 1.394 1.394 1.654
```

Output
ΔH_f (0 K)   17.9 meV per atom
Calculated density   12.734 g/cm³
E above lowest polymorph   0.069 eV/atom
Space group   P4mm (99)
Crystal system   tetragonal